Entry from Alexandria: a relaxed La3Mg crystal (GGA-PBEsol).

POSCAR file:
```
La3Mg
1.0
-0.636 -0.772 -3.505
5.563 0.832 -1.193
1.098 -5.796 1.077
Mg La
1 3
Cartesian
3.167 -1.618 -0.219
1.094 -5.774 1.073
0.180 -3.016 -1.264
3.413 -4.987 -1.417
```

Output
total DFT energy (no corrections): -17.8 eV/cell
Fermi-level density of states: 1.15 states/eV per atom
formation enthalpy at 0 K: -0.0176 eV/atom
space-group type: Pmm2

***

Entry from Alexandria: a relaxed YIn2Ni crystal (GGA-PBEsol).

POSCAR file:
```
YIn2Ni
1.0
-3.305 0.958 -2.545
4.287 -2.228 -2.806
-2.744 -6.626 1.070
Y Ni In
2 2 4
Cartesian
-0.326 -1.896 -0.290
-1.436 -6.001 -3.991
-0.823 -2.184 -3.350
-0.938 -5.713 -0.931
1.744 -1.576 -2.857
-3.506 -6.321 -1.424
-2.405 -3.664 -1.853
0.644 -4.233 -2.428
```

Output
total DFT energy (no corrections): -42.0 eV/cell
Fermi-level density of states: 0.55 states/eV per atom
formation enthalpy at 0 K: -0.5089 eV/atom
space-group type: Cmcm

***

Entry from Alexandria: a relaxed LaSb2Au crystal (GGA-PBEsol).

POSCAR file:
```
LaSb2Au
1.0
4.485 0.000 0.000
0.000 4.485 0.000
-2.243 -2.243 4.907
Au La Sb
1 1 2
Cartesian
2.243 2.243 0.000
0.000 2.243 2.454
0.000 0.000 0.000
2.243 0.000 2.454
```

Output
total DFT energy (no corrections): -20.8 eV/cell
Fermi-level density of states: 0.47 states/eV per atom
formation energy from raw total energies: -602.4 meV/atom
space-group type: I-4m2

***

Entry from Alexandria: a relaxed ScFe2Mo crystal (GGA-PBEsol).

POSCAR file:
```
ScFe2Mo
1.0
2.701 0.000 0.000
-1.350 3.900 0.013
0.000 -0.419 5.368
Fe Mo Sc
2 1 1
Cartesian
1.350 1.666 3.873
0.000 1.815 1.508
0.000 -0.210 2.684
1.350 0.000 0.000
```

Output
total DFT energy (no corrections): -35.1 eV/cell
Fermi-level density of states: 1.01 states/eV per atom
formation enthalpy at 0 K: 0.3078 eV/atom
space-group type: C2/m